Ac4In2Sn, optimized geometry, DFT GGA-PBE; space-group type = No. 166; spin magnetization = 0.00 μB/f.u.; total energy = -4.04 eV per atom
1.0
2.8781 1.6617 9.3534
-2.8781 1.6617 9.3534
0.0000 -3.3234 9.3534
Ac In Sn
4 2 1
Cartesian
0.0000 0.0000 3.4486
0.0000 0.0000 10.5242
0.0000 0.0000 17.5361
0.0000 0.0000 24.6117
0.0000 0.0000 7.1206
0.0000 0.0000 20.9397
0.0000 0.0000 14.0302